Entry from the Alexandria database: a crystal of Sc2TaOs relaxed with PBEsol (SCAN).

Structure (CIF):
```
data_Sc2TaOs
_chemical_formula_sum 'Sc2 Ta1 Os1'
_cell_length_a 3.152
_cell_length_b 3.152
_cell_length_c 7.629
_cell_angle_alpha 90.00
_cell_angle_beta 90.00
_cell_angle_gamma 90.00
_symmetry_space_group_name_H-M 'P 4 m m'
_symmetry_Int_Tables_number 99
_symmetry_space_group_name_Hall 'P 4 -2'
loop_
_atom_site_label
_atom_site_fract_x
_atom_site_fract_y
_atom_site_fract_z
Sc1 0.000 0.000 0.000
Sc2 0.500 0.500 0.335
Ta1 0.000 0.000 0.587
Os1 0.500 0.500 0.788
```

Entry from the Alexandria database: a crystal of ScTaOs2 relaxed with PBEsol (SCAN).

Structure (CIF):
```
data_ScTaOs2
_chemical_formula_sum 'Sc1 Ta1 Os2'
_cell_length_a 2.794
_cell_length_b 2.794
_cell_length_c 8.474
_cell_angle_alpha 90.00
_cell_angle_beta 90.00
_cell_angle_gamma 90.00
_symmetry_space_group_name_H-M 'P 4 m m'
_symmetry_Int_Tables_number 99
_symmetry_space_group_name_Hall 'P 4 -2'
loop_
_atom_site_label
_atom_site_fract_x
_atom_site_fract_y
_atom_site_fract_z
Sc1 0.000 0.000 0.000
Ta1 0.500 0.500 0.294
Os1 0.000 0.000 0.548
Os2 0.500 0.500 0.746
```

Entry from the Alexandria database: a crystal of ScTaOs2 relaxed with PBEsol (SCAN).

Structure (CIF):
```
data_ScTaOs2
_chemical_formula_sum 'Sc1 Ta1 Os2'
_cell_length_a 4.475
_cell_length_b 4.475
_cell_length_c 3.150
_cell_angle_alpha 90.00
_cell_angle_beta 90.00
_cell_angle_gamma 90.00
_symmetry_space_group_name_H-M 'P 4/m m m'
_symmetry_Int_Tables_number 123
_symmetry_space_group_name_Hall '-P 4 2'
loop_
_atom_site_label
_atom_site_fract_x
_atom_site_fract_y
_atom_site_fract_z
Sc1 0.000 0.000 0.000
Ta1 0.500 0.500 0.000
Os1 0.000 0.500 0.500
```

Entry from the Alexandria database: a crystal of ScTcOs3 relaxed with PBEsol (SCAN).

Structure (CIF):
```
data_ScTcOs3
_chemical_formula_sum 'Sc1 Tc1 Os3'
_cell_length_a 4.478
_cell_length_b 4.478
_cell_length_c 4.478
_cell_angle_alpha 90.00
_cell_angle_beta 90.00
_cell_angle_gamma 90.00
_symmetry_space_group_name_H-M 'P m -3 m'
_symmetry_Int_Tables_number 221
_symmetry_space_group_name_Hall '-P 4 2 3'
loop_
_atom_site_label
_atom_site_fract_x
_atom_site_fract_y
_atom_site_fract_z
Sc1 0.000 0.000 0.000
Tc1 0.500 0.500 0.500
Os1 0.000 0.000 0.500
```

Entry from the Alexandria database: a crystal of ScTcOs relaxed with PBEsol (SCAN).

Structure (CIF):
```
data_ScTcOs
_chemical_formula_sum 'Sc1 Tc1 Os1'
_cell_length_a 4.3445
_cell_length_b 4.3445
_cell_length_c 2.8010
_cell_angle_alpha 90.00
_cell_angle_beta 90.00
_cell_angle_gamma 120.00
_symmetry_space_group_name_H-M 'P 3 m 1'
_symmetry_Int_Tables_number 156
_symmetry_space_group_name_Hall 'P 3 -2"'
loop_
_atom_site_label
_atom_site_fract_x
_atom_site_fract_y
_atom_site_fract_z
Sc1 0.0000 0.0000 0.0000
Tc1 0.6667 0.3333 0.3310
Os1 0.3333 0.6667 0.6455
```

Entry from the Alexandria database: a crystal of ScTe2Os relaxed with PBEsol (SCAN).

Structure (CIF):
```
data_ScTe2Os
_chemical_formula_sum 'Sc3 Te6 Os3'
_cell_length_a 3.2217
_cell_length_b 3.2217
_cell_length_c 28.1881
_cell_angle_alpha 90.00
_cell_angle_beta 90.00
_cell_angle_gamma 120.00
_symmetry_space_group_name_H-M 'R -3 m'
_symmetry_Int_Tables_number 166
_symmetry_space_group_name_Hall '-R 3 2"'
loop_
_atom_site_label
_atom_site_fract_x
_atom_site_fract_y
_atom_site_fract_z
Sc1 0.0000 0.0000 0.0000
Te1 0.0000 0.0000 0.4111
Os1 0.0000 0.0000 0.5000
```

formation energy without anion corrections	354	meV/atom

Entry from the Alexandria database: a crystal of ScTe2Os relaxed with PBEsol (SCAN).

Structure (CIF):
```
data_ScTe2Os
_chemical_formula_sum 'Sc2 Te4 Os2'
_cell_length_a 3.244
_cell_length_b 4.556
_cell_length_c 11.454
_cell_angle_alpha 90.00
_cell_angle_beta 90.00
_cell_angle_gamma 90.00
_symmetry_space_group_name_H-M 'I m m 2'
_symmetry_Int_Tables_number 44
_symmetry_space_group_name_Hall 'I 2 -2'
loop_
_atom_site_label
_atom_site_fract_x
_atom_site_fract_y
_atom_site_fract_z
Sc1 0.000 0.000 0.000
Te1 0.000 0.000 0.605
Te2 0.000 0.500 0.827
Os1 0.000 0.500 0.296
```

formation energy without anion corrections	-161	meV/atom

Entry from the Alexandria database: a crystal of ScTe2Os relaxed with PBEsol (SCAN).

Structure (CIF):
```
data_ScTe2Os
_chemical_formula_sum 'Sc2 Te4 Os2'
_cell_length_a 5.856
_cell_length_b 7.391
_cell_length_c 4.163
_cell_angle_alpha 90.00
_cell_angle_beta 90.00
_cell_angle_gamma 90.00
_symmetry_space_group_name_H-M 'C m m m'
_symmetry_Int_Tables_number 65
_symmetry_space_group_name_Hall '-C 2 2'
loop_
_atom_site_label
_atom_site_fract_x
_atom_site_fract_y
_atom_site_fract_z
Sc1 0.000 0.000 0.000
Te1 0.000 0.286 0.500
Os1 0.000 0.500 0.000
```

formation energy without anion corrections	-58	meV/atom

Entry from the Alexandria database: a crystal of Sc2TlOs relaxed with PBEsol (SCAN).

Structure (CIF):
```
data_Sc2TlOs
_chemical_formula_sum 'Sc4 Tl2 Os2'
_cell_length_a 4.196
_cell_length_b 4.196
_cell_length_c 8.371
_cell_angle_alpha 90.00
_cell_angle_beta 90.00
_cell_angle_gamma 90.00
_symmetry_space_group_name_H-M 'I -4 m 2'
_symmetry_Int_Tables_number 119
_symmetry_space_group_name_Hall 'I -4 -2'
loop_
_atom_site_label
_atom_site_fract_x
_atom_site_fract_y
_atom_site_fract_z
Sc1 0.000 0.000 0.000
Sc2 0.000 0.500 0.250
Tl1 0.000 0.000 0.500
Os1 0.000 0.500 0.750
```

Entry from the Alexandria database: a crystal of Sc4TlOs relaxed with PBEsol (SCAN).

Structure (CIF):
```
data_Sc4TlOs
_chemical_formula_sum 'Sc16 Tl4 Os4'
_cell_length_a 7.733
_cell_length_b 7.733
_cell_length_c 7.733
_cell_angle_alpha 90.00
_cell_angle_beta 90.00
_cell_angle_gamma 90.00
_symmetry_space_group_name_H-M 'F -4 3 m'
_symmetry_Int_Tables_number 216
_symmetry_space_group_name_Hall 'F -4 2 3'
loop_
_atom_site_label
_atom_site_fract_x
_atom_site_fract_y
_atom_site_fract_z
Sc1 0.122 0.122 0.122
Tl1 0.000 0.000 0.500
Os1 0.250 0.250 0.750
```

Entry from the Alexandria database: a crystal of Sc2TlOs relaxed with PBEsol (SCAN).

Structure (CIF):
```
data_Sc2TlOs
_chemical_formula_sum 'Sc2 Tl1 Os1'
_cell_length_a 3.249
_cell_length_b 3.249
_cell_length_c 7.287
_cell_angle_alpha 90.00
_cell_angle_beta 90.00
_cell_angle_gamma 90.00
_symmetry_space_group_name_H-M 'P 4/m m m'
_symmetry_Int_Tables_number 123
_symmetry_space_group_name_Hall '-P 4 2'
loop_
_atom_site_label
_atom_site_fract_x
_atom_site_fract_y
_atom_site_fract_z
Sc1 0.000 0.000 0.208
Tl1 0.500 0.500 0.500
Os1 0.500 0.500 0.000
```

Entry from the Alexandria database: a crystal of ScTl3Os relaxed with PBEsol (SCAN).

Structure (CIF):
```
data_ScTl3Os
_chemical_formula_sum 'Sc1 Tl3 Os1'
_cell_length_a 5.343
_cell_length_b 5.343
_cell_length_c 5.343
_cell_angle_alpha 90.00
_cell_angle_beta 90.00
_cell_angle_gamma 90.00
_symmetry_space_group_name_H-M 'P m -3 m'
_symmetry_Int_Tables_number 221
_symmetry_space_group_name_Hall '-P 4 2 3'
loop_
_atom_site_label
_atom_site_fract_x
_atom_site_fract_y
_atom_site_fract_z
Sc1 0.000 0.000 0.000
Tl1 0.000 0.000 0.500
Os1 0.500 0.500 0.500
```

| no. | raw total energy (eV per atom) |
| --- | --- |
| 1 | -42.02 |
| 2 | -56.18 |
| 3 | -56.82 |
| 4 | -50.49 |
| 5 | -40.48 |
| 6 | -39.80 |
| 7 | -40.32 |
| 8 | -40.21 |
| 9 | -43.38 |
| 10 | -33.13 |
| 11 | -43.79 |
| 12 | -59.00 |